Entry from Alexandria via LeMat-Bulk: a crystal of CaTcW2 relaxed with PBEsol (SCAN).

Computed properties:
formation enthalpy at 0 K = 898 meV/atom
VASP energy = -45.126 eV/atom
energy above the lowest structure with this stoichiometry = 160.2 meV per atom
spin magnetization = 0.00 μB per atom
Fermi-level density of states = 1.08 states/eV per atom

abc: 6.3989 6.3989 6.3989
angles: 90.00 90.00 90.00
Closest atoms and distances in Å follow each position.
Space group Fm-3m (No. 225)
Symmetry-distinct sites (fractional):
Ca1 0.0000 0.0000 0.0000 [4 per cell]  8 W 2.77
Tc1 0.0000 0.0000 0.5000 [4 per cell]  8 W 2.77
W1 0.2500 0.2500 0.2500 [8 per cell]  4 Tc 2.77, 4 Ca 2.77

***

Entry from Alexandria via LeMat-Bulk: a crystal of Li2NbI relaxed with PBEsol (SCAN).

Computed properties:
VASP energy = -18.142 eV/atom
raw formation energy = 0.52 eV/atom
spin magnetization = 0.00 μB per atom
Fermi-level density of states = 0.77 states/eV per atom

abc: 7.6124 7.6124 5.3705
angles: 90.00 90.00 90.00
Closest atoms and distances in Å follow each position.
Space group I-42d (No. 122)
Symmetry-distinct sites (fractional):
Li1 0.2236 0.7500 0.1250 [8 per cell]  2 I 2.64, 2 Li 2.72, 2 Nb 2.92
Nb1 0.0000 0.0000 0.5000 [4 per cell]  2 I 2.69, 4 Li 2.92
I1 0.0000 0.0000 0.0000 [4 per cell]  4 Li 2.64, 2 Nb 2.69